(1)
First-principles (PBEsol) data for an optimized crystal structure of LiNi5, as listed in Alexandria via LeMat-Bulk.

a = 9.031 Å, b = 2.423 Å, c = 5.906 Å
α = 90.00°, β = 104.91°, γ = 90.00°
Space group Cm (No. 8)
Symmetry-distinct sites (fractional):
Li 0.000 0.000 0.000 [2 per cell]
Ni 0.114 0.500 0.713 [2 per cell]
Ni 0.171 0.500 0.335 [2 per cell]
Ni 0.271 0.000 0.047 [2 per cell]
Ni 0.336 0.000 0.665 [2 per cell]
Ni 0.444 0.500 0.384 [2 per cell]

- E above lowest polymorph: 0 meV/atom
- ΔH_f (0 K): 0.02 eV per atom

(2)
First-principles (PBEsol) data for an optimized crystal structure of LaZn3Ni, as listed in Alexandria via LeMat-Bulk.

a = 4.545 Å, b = 4.545 Å, c = 4.545 Å
α = 90.00°, β = 90.00°, γ = 90.00°
Space group Pm-3m (No. 221)
Symmetry-distinct sites (fractional):
La 0.000 0.000 0.000 [1 per cell]
Zn 0.000 0.500 0.500 [3 per cell]
Ni 0.500 0.500 0.500 [1 per cell]

- ΔH_f (0 K): -0.24 eV per atom

(3)
First-principles (PBEsol) data for an optimized crystal structure of Li2MgCd, as listed in Alexandria via LeMat-Bulk.

a = 6.583 Å, b = 6.583 Å, c = 6.583 Å
α = 90.00°, β = 90.00°, γ = 90.00°
Space group Fm-3m (No. 225)
Symmetry-distinct sites (fractional):
Li 0.250 0.250 0.250 [8 per cell]
Mg 0.000 0.000 0.000 [4 per cell]
Cd 0.000 0.000 0.500 [4 per cell]

- E above lowest polymorph: 10 meV/atom
- ΔH_f (0 K): -0.18 eV per atom

(4)
First-principles (PBEsol) data for an optimized crystal structure of LiCdPb2, as listed in Alexandria via LeMat-Bulk.

a = 3.4572 Å, b = 3.4572 Å, c = 28.3415 Å
α = 90.00°, β = 90.00°, γ = 120.00°
Space group R-3m (No. 166, hexagonal axes)
Symmetry-distinct sites (fractional):
Li 0.0000 0.0000 0.0000 [3 per cell]
Cd 0.0000 0.0000 0.5000 [3 per cell]
Pb 0.0000 0.0000 0.2531 [6 per cell]

- ΔH_f (0 K): -0.07 eV per atom

(5)
First-principles (PBEsol) data for an optimized crystal structure of Ba2Au, as listed in Alexandria via LeMat-Bulk.

a = 7.996 Å, b = 7.996 Å, c = 7.996 Å
α = 90.00°, β = 90.00°, γ = 90.00°
Space group Pa-3 (No. 205)
Symmetry-distinct sites (fractional):
Ba 0.168 0.168 0.168 [8 per cell]
Au 0.000 0.000 0.500 [4 per cell]

- ΔH_f (0 K): -0.43 eV per atom

(6)
First-principles (PBEsol) data for an optimized crystal structure of SmGaGe2O7, as listed in Alexandria via LeMat-Bulk.

a = 7.175 Å, b = 6.584 Å, c = 12.797 Å
α = 90.00°, β = 117.56°, γ = 90.00°
Space group P2_1/c (No. 14)
Symmetry-distinct sites (fractional):
Sm 0.238 0.146 0.475 [4 per cell]
Ga 0.212 0.099 0.731 [4 per cell]
Ge 0.215 0.659 0.458 [4 per cell]
Ge 0.298 0.588 0.722 [4 per cell]
O 0.009 0.660 0.924 [4 per cell]
O 0.149 0.688 0.185 [4 per cell]
O 0.210 0.053 0.874 [4 per cell]
O 0.215 0.112 0.281 [4 per cell]
O 0.255 0.002 0.079 [4 per cell]
O 0.410 0.670 0.979 [4 per cell]
O 0.430 0.123 0.691 [4 per cell]

- Energy relative to the elements, uncorrected: -2.20 eV/atom

(7)
First-principles (PBEsol) data for an optimized crystal structure of Mg2CuWO6, as listed in Alexandria via LeMat-Bulk.

a = 4.972 Å, b = 5.125 Å, c = 9.520 Å
α = 90.00°, β = 120.10°, γ = 90.00°
Space group P2_1/c (No. 14)
Symmetry-distinct sites (fractional):
Mg 0.204 0.048 0.225 [4 per cell]
Cu 0.000 0.000 0.500 [2 per cell]
W 0.500 0.000 0.000 [2 per cell]
O 0.141 0.194 0.956 [4 per cell]
O 0.208 0.706 0.894 [4 per cell]
O 0.444 0.108 0.796 [4 per cell]

- Energy relative to the elements, uncorrected: -2.03 eV/atom
- E above lowest polymorph: 3 meV/atom

(8)
First-principles (PBEsol) data for an optimized crystal structure of Re2TeW, as listed in Alexandria via LeMat-Bulk.

a = 3.134 Å, b = 4.691 Å, c = 9.333 Å
α = 90.00°, β = 90.00°, γ = 90.00°
Space group Cmmm (No. 65)
Symmetry-distinct sites (fractional):
Re 0.000 0.000 0.222 [4 per cell]
Te 0.000 0.500 0.500 [2 per cell]
W 0.000 0.500 0.000 [2 per cell]

- Energy relative to the elements, uncorrected: 0.75 eV/atom

(9)
First-principles (PBEsol) data for an optimized crystal structure of In2PtPb, as listed in Alexandria via LeMat-Bulk.

a = 8.154 Å, b = 3.672 Å, c = 6.553 Å
α = 90.00°, β = 104.03°, γ = 90.00°
Space group C2/m (No. 12)
Symmetry-distinct sites (fractional):
In 0.232 0.000 0.189 [4 per cell]
Pt 0.000 0.500 0.000 [2 per cell]
Pb 0.000 0.000 0.500 [2 per cell]

- ΔH_f (0 K): -0.10 eV per atom

(10)
First-principles (PBEsol) data for an optimized crystal structure of LiMn2Pb, as listed in Alexandria via LeMat-Bulk.

a = 4.006 Å, b = 4.006 Å, c = 7.965 Å
α = 90.00°, β = 90.00°, γ = 90.00°
Space group I-4m2 (No. 119)
Symmetry-distinct sites (fractional):
Li 0.000 0.000 0.000 [2 per cell]
Mn 0.000 0.000 0.500 [2 per cell]
Mn 0.000 0.500 0.250 [2 per cell]
Pb 0.000 0.500 0.750 [2 per cell]

- ΔH_f (0 K): 0.43 eV per atom

(11)
First-principles (PBEsol) data for an optimized crystal structure of Mg2Nb2AgO8, as listed in Alexandria via LeMat-Bulk.

a = 5.177 Å, b = 6.098 Å, c = 10.158 Å
α = 103.96°, β = 91.02°, γ = 90.82°
Space group P-1 (No. 2)
Symmetry-distinct sites (fractional):
Mg 0.246 0.371 0.459 [2 per cell]
Mg 0.252 0.912 0.544 [2 per cell]
Nb 0.238 0.802 0.244 [2 per cell]
Nb 0.264 0.527 0.758 [2 per cell]
Ag 0.252 0.157 0.998 [2 per cell]
O 0.047 0.197 0.617 [2 per cell]
O 0.061 0.507 0.157 [2 per cell]
O 0.082 0.958 0.126 [2 per cell]
O 0.123 0.652 0.613 [2 per cell]
O 0.378 0.057 0.387 [2 per cell]
O 0.426 0.768 0.874 [2 per cell]
O 0.431 0.284 0.842 [2 per cell]
O 0.449 0.596 0.379 [2 per cell]

- Energy relative to the elements, uncorrected: -2.19 eV/atom

(12)
First-principles (PBEsol) data for an optimized crystal structure of Ba3P2, as listed in Alexandria via LeMat-Bulk.

a = 5.4350 Å, b = 5.4350 Å, c = 6.7802 Å
α = 90.00°, β = 90.00°, γ = 120.00°
Space group P-3m1 (No. 164)
Symmetry-distinct sites (fractional):
Ba 0.0000 0.0000 0.0000 [1 per cell]
Ba 0.3333 0.6667 0.3008 [2 per cell]
P 0.3333 0.6667 0.7863 [2 per cell]

- E above lowest polymorph: 33 meV/atom
- ΔH_f (0 K): -0.95 eV per atom

(13)
First-principles (PBEsol) data for an optimized crystal structure of Co3Ni2, as listed in Alexandria via LeMat-Bulk.

a = 8.267 Å, b = 11.855 Å, c = 4.280 Å
α = 90.00°, β = 90.00°, γ = 90.00°
Space group Fdd2 (No. 43)
Symmetry-distinct sites (fractional):
Co 0.000 0.000 0.000 [8 per cell]
Co 0.036 0.099 0.477 [16 per cell]
Ni 0.024 0.201 0.955 [16 per cell]

- E above lowest polymorph: 79 meV/atom
- ΔH_f (0 K): 0.08 eV per atom

(14)
First-principles (PBEsol) data for an optimized crystal structure of Hf3TiS, as listed in Alexandria via LeMat-Bulk.

a = 4.697 Å, b = 4.697 Å, c = 4.697 Å
α = 90.00°, β = 90.00°, γ = 90.00°
Space group Pm-3m (No. 221)
Symmetry-distinct sites (fractional):
Hf 0.000 0.000 0.500 [3 per cell]
Ti 0.500 0.500 0.500 [1 per cell]
S 0.000 0.000 0.000 [1 per cell]

- Energy relative to the elements, uncorrected: -0.32 eV/atom

(15)
First-principles (PBEsol) data for an optimized crystal structure of HfMgSCl2, as listed in Alexandria via LeMat-Bulk.

a = 4.918 Å, b = 4.918 Å, c = 4.910 Å
α = 90.00°, β = 90.00°, γ = 90.00°
Space group P4/mmm (No. 123)
Symmetry-distinct sites (fractional):
Hf 0.000 0.000 0.000 [1 per cell]
Mg 0.500 0.500 0.500 [1 per cell]
S 0.000 0.000 0.500 [1 per cell]
Cl 0.000 0.500 0.000 [2 per cell]

- Energy relative to the elements, uncorrected: -0.96 eV/atom

(16)
First-principles (PBEsol) data for an optimized crystal structure of HgBi2I, as listed in Alexandria via LeMat-Bulk.

a = 4.721 Å, b = 4.721 Å, c = 23.269 Å
α = 90.00°, β = 90.00°, γ = 90.00°
Space group I-42d (No. 122)
Symmetry-distinct sites (fractional):
Hg 0.000 0.000 0.000 [4 per cell]
Bi 0.206 0.250 0.125 [8 per cell]
I 0.000 0.000 0.500 [4 per cell]

- Energy relative to the elements, uncorrected: 0.05 eV/atom

(17)
First-principles (PBEsol) data for an optimized crystal structure of Ca2TaCl, as listed in Alexandria via LeMat-Bulk.

a = 5.322 Å, b = 5.322 Å, c = 7.603 Å
α = 90.00°, β = 90.00°, γ = 90.00°
Space group I4/mmm (No. 139)
Symmetry-distinct sites (fractional):
Ca 0.000 0.500 0.250 [4 per cell]
Ta 0.000 0.000 0.000 [2 per cell]
Cl 0.000 0.000 0.500 [2 per cell]

- Energy relative to the elements, uncorrected: 0.57 eV/atom
- E above lowest polymorph: 918 meV/atom

(18)
First-principles (PBEsol) data for an optimized crystal structure of BaCa2TaW, as listed in Alexandria via LeMat-Bulk.

a = 5.312 Å, b = 5.312 Å, c = 5.206 Å
α = 90.00°, β = 90.00°, γ = 90.00°
Space group P4/mmm (No. 123)
Symmetry-distinct sites (fractional):
Ba 0.000 0.000 0.000 [1 per cell]
Ca 0.000 0.500 0.000 [2 per cell]
Ta 0.000 0.000 0.500 [1 per cell]
W 0.500 0.500 0.500 [1 per cell]

- ΔH_f (0 K): 2.53 eV per atom

(19)
First-principles (PBEsol) data for an optimized crystal structure of K2MoRh, as listed in Alexandria via LeMat-Bulk.

a = 2.989 Å, b = 4.628 Å, c = 11.568 Å
α = 90.00°, β = 90.00°, γ = 90.00°
Space group Cmmm (No. 65)
Symmetry-distinct sites (fractional):
K 0.000 0.000 0.228 [4 per cell]
Mo 0.000 0.500 0.500 [2 per cell]
Rh 0.000 0.500 0.000 [2 per cell]

- E above lowest polymorph: 0 meV/atom
- ΔH_f (0 K): 1.18 eV per atom

(20)
First-principles (PBEsol) data for an optimized crystal structure of Nb6Sn5, as listed in Alexandria via LeMat-Bulk.

a = 5.624 Å, b = 9.190 Å, c = 16.743 Å
α = 90.00°, β = 90.00°, γ = 90.00°
Space group Immm (No. 71)
Symmetry-distinct sites (fractional):
Nb 0.000 0.000 0.154 [4 per cell]
Nb 0.000 0.271 0.416 [8 per cell]
Nb 0.240 0.000 0.500 [4 per cell]
Nb 0.250 0.250 0.250 [8 per cell]
Sn 0.000 0.000 0.332 [4 per cell]
Sn 0.000 0.307 0.104 [8 per cell]
Sn 0.000 0.500 0.295 [4 per cell]
Sn 0.244 0.000 0.000 [4 per cell]

- ΔH_f (0 K): -0.21 eV per atom

no.,final energy (eV per atom),calculated volume (Å³/f.u.)
1,-5.4347,62
2,-3.4901,94
3,-1.8940,71
4,-2.8567,98
5,-3.1754,128
6,-7.2045,134
7,-7.3392,105
8,-10.2461,69
9,-4.3360,95
10,-5.9442,64
11,-7.6082,156
12,-4.5593,173
13,-7.0215,52
14,-9.1639,104
15,-5.0792,119
16,-2.6734,130
17,-4.1344,108
18,-4.0216,147
19,-4.3585,80
20,-8.0480,216